# 1
# GGA-PBE Cs2CaP2Se6, optimized geometry
data_Cs2CaP2Se6
_cell_length_a 7.4947
_cell_length_b 7.4947
_cell_length_c 22.0691
_cell_angle_alpha 90.00
_cell_angle_beta 90.00
_cell_angle_gamma 120.00
_symmetry_space_group_name_H-M 'R -3 m'
_symmetry_Int_Tables_number 166
_symmetry_space_group_name_Hall '-R 3 2"'
loop_
_atom_site_label
_atom_site_type_symbol
_atom_site_fract_x
_atom_site_fract_y
_atom_site_fract_z
Cs1 Cs 0.0000 0.0000 0.2396
Ca1 Ca 0.0000 0.0000 0.0000
P1 P 0.0000 0.0000 0.4463
Se1 Se 0.0016 0.5008 0.2413
# Electronic total energy (eV/atom): -4.00
# DOS at the Fermi energy (states/eV/atom): 0.0194
# Uncorrected formation energy (meV per atom): -777

# 2
# GGA-PBE CsCaSiP2, optimized geometry
data_CsCaSiP2
_cell_length_a 5.437
_cell_length_b 5.437
_cell_length_c 5.616
_cell_angle_alpha 90.00
_cell_angle_beta 90.00
_cell_angle_gamma 90.00
_symmetry_space_group_name_H-M 'P 4/m m m'
_symmetry_Int_Tables_number 123
_symmetry_space_group_name_Hall '-P 4 2'
loop_
_atom_site_label
_atom_site_type_symbol
_atom_site_fract_x
_atom_site_fract_y
_atom_site_fract_z
Cs1 Cs 0.000 0.000 0.000
Ca1 Ca 0.500 0.500 0.500
Si1 Si 0.500 0.500 0.000
P1 P 0.000 0.500 0.500
# Electronic total energy (eV/atom): -3.20
# DOS at the Fermi energy (states/eV/atom): 0.4715
# Uncorrected formation energy (meV per atom): 615

# 3
# GGA-PBE CsCaSn2P, optimized geometry
data_CsCaSn2P
_cell_length_a 6.022
_cell_length_b 6.022
_cell_length_c 5.981
_cell_angle_alpha 90.00
_cell_angle_beta 90.00
_cell_angle_gamma 90.00
_symmetry_space_group_name_H-M 'P 4/m m m'
_symmetry_Int_Tables_number 123
_symmetry_space_group_name_Hall '-P 4 2'
loop_
_atom_site_label
_atom_site_type_symbol
_atom_site_fract_x
_atom_site_fract_y
_atom_site_fract_z
Cs1 Cs 0.000 0.000 0.000
Ca1 Ca 0.000 0.000 0.500
Sn1 Sn 0.000 0.500 0.000
P1 P 0.500 0.500 0.500
# Electronic total energy (eV/atom): -1.69
# DOS at the Fermi energy (states/eV/atom): 1.0197
# Calculated formation energy (eV per atom): 1.57